# 1
La2AlMo after structural relaxation. Source: Alexandria, functional PBE-GGA.

Properties
* energy of formation from the pure elements: 0.28 eV/atom
* spin magnetization: 0.000 μB/atom
* calculated volume: 200.4 Å³ per cell

The structure in CIF format:
```
data_La2AlMo
_cell_length_a 3.703
_cell_length_b 5.288
_cell_length_c 10.235
_cell_angle_alpha 90.00
_cell_angle_beta 90.00
_cell_angle_gamma 90.00
_space_group_name_H-M_alt 'C m m 2'
_space_group_IT_number 35
loop_
_space_group_symop_operation_xyz
'x,y,z'
'-x,-y,z'
'-x,y,z'
'x,-y,z'
'x+1/2,y+1/2,z'
'-x+1/2,-y+1/2,z'
'-x+1/2,y+1/2,z'
'x+1/2,-y+1/2,z'
loop_
_atom_site_label
_atom_site_fract_x
_atom_site_fract_y
_atom_site_fract_z
La1 0.000 0.000 0.000
La2 0.000 0.500 0.355
Al1 0.000 0.000 0.605
Mo1 0.000 0.500 0.779
```

=====

# 2
La2AlMo after structural relaxation. Source: Alexandria, functional PBE-GGA.

Properties
* energy of formation from the pure elements: 0.46 eV/atom
* spin magnetization: 0.000 μB/atom
* calculated volume: 415.8 Å³ per cell

The structure in CIF format:
```
data_La2AlMo
_cell_length_a 8.377
_cell_length_b 8.377
_cell_length_c 5.925
_cell_angle_alpha 90.00
_cell_angle_beta 90.00
_cell_angle_gamma 90.00
_space_group_name_H-M_alt 'I -4 2 d'
_space_group_IT_number 122
_space_group_name_Hall 'I -4 2bw'
loop_
_atom_site_label
_atom_site_fract_x
_atom_site_fract_y
_atom_site_fract_z
La1 0.196 0.250 0.125
Al1 0.000 0.000 0.500
Mo1 0.000 0.000 0.000
```

=====

# 3
LaAl2Mo after structural relaxation. Source: Alexandria, functional PBE-GGA.

Properties
* ΔE to the lowest computed polymorph: 0.280 eV/atom
* energy of formation from the pure elements: 0.15 eV/atom
* spin magnetization: 0.129 μB/atom
* calculated volume: 242.3 Å³ per cell

The structure in CIF format:
```
data_LaAl2Mo
_cell_length_a 3.0544
_cell_length_b 3.0544
_cell_length_c 29.9885
_cell_angle_alpha 90.00
_cell_angle_beta 90.00
_cell_angle_gamma 120.00
_space_group_name_H-M_alt 'R -3 m'
_space_group_IT_number 166
_space_group_name_Hall '-R 3 2"'
loop_
_atom_site_label
_atom_site_fract_x
_atom_site_fract_y
_atom_site_fract_z
La1 0.0000 0.0000 0.0000
Al1 0.0000 0.0000 0.2363
Mo1 0.0000 0.0000 0.5000
```

=====

# 4
La2AlMo after structural relaxation. Source: Alexandria, functional PBE-GGA.

Properties
* energy of formation from the pure elements: 0.24 eV/atom
* spin magnetization: 0.002 μB/atom
* calculated volume: 369.9 Å³ per cell

The structure in CIF format:
```
data_La2AlMo
_cell_length_a 7.178
_cell_length_b 7.178
_cell_length_c 7.178
_cell_angle_alpha 90.00
_cell_angle_beta 90.00
_cell_angle_gamma 90.00
_space_group_name_H-M_alt 'F -4 3 m'
_space_group_IT_number 216
_space_group_name_Hall 'F -4 2 3'
loop_
_atom_site_label
_atom_site_fract_x
_atom_site_fract_y
_atom_site_fract_z
La1 0.000 0.000 0.000
La2 0.250 0.250 0.250
Al1 0.000 0.000 0.500
Mo1 0.250 0.250 0.750
```

=====

# 5
LaAl2Mo after structural relaxation. Source: Alexandria, functional PBE-GGA.

Properties
* ΔE to the lowest computed polymorph: 0.245 eV/atom
* energy of formation from the pure elements: 0.12 eV/atom
* spin magnetization: 0.581 μB/atom
* calculated volume: 329.8 Å³ per cell

The structure in CIF format:
```
data_LaAl2Mo
_cell_length_a 6.909
_cell_length_b 6.909
_cell_length_c 6.909
_cell_angle_alpha 90.00
_cell_angle_beta 90.00
_cell_angle_gamma 90.00
_space_group_name_H-M_alt 'F m -3 m'
_space_group_IT_number 225
_space_group_name_Hall '-F 4 2 3'
loop_
_atom_site_label
_atom_site_fract_x
_atom_site_fract_y
_atom_site_fract_z
La1 0.000 0.000 0.000
Al1 0.250 0.250 0.250
Mo1 0.000 0.000 0.500
```

=====

# 6
LaAlMo after structural relaxation. Source: Alexandria, functional PBE-GGA.

Properties
* ΔE to the lowest computed polymorph: 0.289 eV/atom
* energy of formation from the pure elements: 0.40 eV/atom
* spin magnetization: 0.000 μB/atom
* calculated volume: 62.0 Å³ per cell

The structure in CIF format:
```
data_LaAlMo
_cell_length_a 2.9989
_cell_length_b 2.9989
_cell_length_c 7.9620
_cell_angle_alpha 90.00
_cell_angle_beta 90.00
_cell_angle_gamma 120.00
_space_group_name_H-M_alt 'P 3 m 1'
_space_group_IT_number 156
loop_
_space_group_symop_operation_xyz
'x,y,z'
'-y,x-y,z'
'-x+y,-x,z'
'-y,-x,z'
'-x+y,y,z'
'x,x-y,z'
loop_
_atom_site_label
_atom_site_fract_x
_atom_site_fract_y
_atom_site_fract_z
La1 0.0000 0.0000 0.0000
Al1 0.6667 0.3333 0.6302
Mo1 0.3333 0.6667 0.3610
```

=====

What is the calculated volume in the fifth record?
329.8 Å³ per cell

=====

Number 5 is which compound?
LaAl2Mo